P:
Compound: Cs2PdO
Source: Alexandria via LeMat-Bulk
Functional: PBE-GGA
Structure: optimized geometry

Calculated values
N(E_F): 10.08 states/eV/f.u.
volume: 27.01 A^3/atom

Structure (CIF):
```
data_Cs2PdO
_symmetry_space_group_name_H-M 'F m -3 m'
_symmetry_Int_Tables_number 225
_symmetry_space_group_name_Hall '-F 4 2 3'
_cell_length_a 7.560
_cell_length_b 7.560
_cell_length_c 7.560
_cell_angle_alpha 90.00
_cell_angle_beta 90.00
_cell_angle_gamma 90.00
loop_
_atom_site_label
_atom_site_type_symbol
_atom_site_fract_x
_atom_site_fract_y
_atom_site_fract_z
Cs1 Cs 0.250 0.250 0.250
Pd1 Pd 0.000 0.000 0.000
O1 O 0.000 0.000 0.500
```

Q:
Compound: Cs2PdO
Source: Alexandria via LeMat-Bulk
Functional: PBE-GGA
Structure: optimized geometry

Calculated values
volume: 32.87 A^3/atom

Structure (CIF):
```
data_Cs2PdO
_symmetry_space_group_name_H-M 'C m c m'
_symmetry_Int_Tables_number 63
_symmetry_space_group_name_Hall '-C 2c 2'
_cell_length_a 4.810
_cell_length_b 14.166
_cell_length_c 7.719
_cell_angle_alpha 90.00
_cell_angle_beta 90.00
_cell_angle_gamma 90.00
loop_
_atom_site_label
_atom_site_type_symbol
_atom_site_fract_x
_atom_site_fract_y
_atom_site_fract_z
Cs1 Cs 0.000 0.144 0.002
Pd1 Pd 0.000 0.463 0.250
O1 O 0.000 0.320 0.250
```

R:
Compound: Cs2PdO
Source: Alexandria via LeMat-Bulk
Functional: PBE-GGA
Structure: optimized geometry

Calculated values
N(E_F): 6.54 states/eV/f.u.
volume: 31.72 A^3/atom

Structure (CIF):
```
data_Cs2PdO
_symmetry_space_group_name_H-M 'R -3 m'
_symmetry_Int_Tables_number 166
_symmetry_space_group_name_Hall '-R 3 2"'
_cell_length_a 3.9629
_cell_length_b 3.9629
_cell_length_c 27.9829
_cell_angle_alpha 90.00
_cell_angle_beta 90.00
_cell_angle_gamma 120.00
loop_
_atom_site_label
_atom_site_type_symbol
_atom_site_fract_x
_atom_site_fract_y
_atom_site_fract_z
Cs1 Cs 0.0000 0.0000 0.1064
Pd1 Pd 0.0000 0.0000 0.0000
O1 O 0.0000 0.0000 0.5000
```

Stability verdict: Q, ahead by 296 meV/atom